No. 1
Compound: Zr2TiPbO
Source: the Alexandria database
Functional: PBE-GGA
Structure: relaxed

Geometry as extended XYZ:
```
5
Lattice="4.6939 0.0000 0.0000 0.0000 4.6939 0.0000 0.0000 0.0000 4.0247" Properties=species:S:1:pos:R:3 pbc="T T T"
Pb 2.3469 2.3469 2.0123
O 0.0000 0.0000 0.0000
Zr 0.0000 2.3469 0.0000
Zr 2.3469 0.0000 0.0000
Ti 0.0000 0.0000 2.0123
```

Properties
- SG: No. 123
- Density of states at the Fermi level: 4.73 states/eV/cell
- DFT total energy: -38.9 eV per formula unit
- Energy relative to the elements, uncorrected: -505 kJ/mol of formula units

No. 2
Compound: SiBiP2O
Source: the Alexandria database
Functional: PBE-GGA
Structure: relaxed

Geometry as extended XYZ:
```
5
Lattice="-3.0663 0.8725 -4.1972 -4.2354 0.1812 3.1318 0.5189 4.0672 0.4664" Properties=species:S:1:pos:R:3 pbc="T T T"
P -2.1177 0.0906 1.5659
P -1.5331 0.4362 -2.0986
Si -3.3914 2.5605 -0.2995
Bi 0.0000 0.0000 0.0000
O 0.2594 2.0336 0.2332
```

Properties
- SG: No. 123
- Density of states at the Fermi level: 3.76 states/eV/cell
- DFT total energy: -20.3 eV per formula unit
- Distance to the lowest polymorph of the same formula: 1205 meV per atom
- Energy relative to the elements, uncorrected: 459 kJ/mol of formula units

No. 3
Compound: In2FeAs
Source: the Alexandria database
Functional: PBE-GGA
Structure: relaxed

Geometry as extended XYZ:
```
4
Lattice="-0.7180 2.4327 -4.7664 -3.0668 -2.8824 -3.3821 -0.5494 1.5798 5.1336" Properties=species:S:1:pos:R:3 pbc="T T T"
As -2.7543 -0.7637 -1.1613
Fe -1.5799 1.8939 -1.8535
In 0.0000 0.0000 0.0000
In -1.8924 -0.2248 -4.0742
```

Properties
- SG: No. 139
- Density of states at the Fermi level: 4.52 states/eV/cell
- DFT total energy: -16.9 eV per formula unit
- DFT formation energy: 433 meV per atom

No. 4
Compound: B2RuI
Source: the Alexandria database
Functional: PBE-GGA
Structure: relaxed

Geometry as extended XYZ:
```
8
Lattice="-1.8332 5.0640 0.0860 -2.6399 -1.0334 4.5799 1.7672 3.4202 4.9577" Properties=species:S:1:pos:R:3 pbc="T T T"
I 0.0000 0.0000 0.0000
I -1.1513 5.2497 3.6883
Ru -2.2365 2.0153 2.3329
Ru -1.5546 2.2010 5.9353
B -0.8519 3.3881 1.8571
B -1.6193 1.3450 4.1212
B -0.6141 3.9740 5.9227
B -2.3264 6.1945 7.3462
```

Properties
- SG: No. 122
- Density of states at the Fermi level: 4.25 states/eV/cell
- DFT total energy: -20.6 eV per formula unit
- Distance to the lowest polymorph of the same formula: 0 meV per atom
- Energy relative to the elements, uncorrected: 347 kJ/mol of formula units

No. 5
Compound: Ba6Pd2PtN
Source: the Alexandria database
Functional: PBE-GGA
Structure: relaxed

Geometry as extended XYZ:
```
20
Lattice="7.6305 0.0000 0.0117 0.0000 8.3077 0.0000 0.0846 0.0000 11.1690" Properties=species:S:1:pos:R:3 pbc="T T T"
Ba 2.2856 5.5691 0.6765
Ba 6.1431 6.8925 6.2669
Ba 5.4295 2.7386 10.5043
Ba 1.5720 1.4153 4.9139
Ba 2.5785 5.8157 4.8432
Ba 6.4360 6.6459 10.4336
Ba 5.1366 2.4920 6.3376
Ba 1.2791 1.6618 0.7472
Ba 6.6757 4.5352 2.6165
Ba 2.9028 7.9264 8.1952
Ba 1.0394 3.7725 8.5643
Ba 4.8123 0.3813 2.9856
Pd 0.2900 7.5198 2.8545
Pd 4.1476 4.9418 8.4449
Pd 7.4251 0.7879 8.3262
Pd 3.5675 3.3660 2.7359
Pt 3.8152 0.0000 0.0059
Pt 0.0423 4.1539 5.5845
N 3.8575 0.0000 5.5904
N 0.0000 4.1539 0.0000
```

Properties
- SG: No. 14
- Density of states at the Fermi level: 15.84 states/eV/cell
- DFT total energy: -40.9 eV per formula unit
- Energy relative to the elements, uncorrected: -441 kJ/mol of formula units

No. 6
Compound: PIr4Se
Source: the Alexandria database
Functional: PBE-GGA
Structure: relaxed

Geometry as extended XYZ:
```
6
Lattice="2.7086 -3.2840 -3.0377 0.6226 -4.9872 1.4453 -2.4765 -3.8038 -2.5975" Properties=species:S:1:pos:R:3 pbc="T T T"
P 0.6411 -9.0562 -3.1424
Ir 1.6723 -6.1699 -3.0880
Ir -0.9150 -6.4292 -2.8684
Ir 0.6314 -7.0197 -0.8511
Ir 0.3207 -4.5312 -1.5723
Se 0.0000 0.0000 0.0000
```

Properties
- SG: No. 216
- Density of states at the Fermi level: 8.67 states/eV/cell
- DFT total energy: -38.5 eV per formula unit
- Energy relative to the elements, uncorrected: 565 kJ/mol of formula units

No. 7
Compound: La2PdRh
Source: the Alexandria database
Functional: PBE-GGA
Structure: relaxed

Geometry as extended XYZ:
```
4
Lattice="-2.8114 -2.2432 2.1881 0.1591 -4.2065 -0.0580 3.3071 -2.0669 6.1801" Properties=species:S:1:pos:R:3 pbc="T T T"
Rh 0.0000 0.0000 0.0000
Pd 0.3274 -4.2583 4.1551
La 0.1055 -2.1303 2.0015
La 0.5494 -6.3863 6.3087
```

Properties
- SG: No. 166
- Density of states at the Fermi level: 2.61 states/eV/cell
- DFT total energy: -25.3 eV per formula unit
- DFT formation energy: -728 meV per atom

No. 8
Compound: FeHgBr2
Source: the Alexandria database
Functional: PBE-GGA
Structure: relaxed

Geometry as extended XYZ:
```
4
Lattice="-2.6853 -5.3803 -1.4385 2.3105 -0.7019 -5.6918 1.1648 0.0421 6.0720" Properties=species:S:1:pos:R:3 pbc="T T T"
Br -0.0161 -0.2609 -0.3058
Br -0.8276 -3.7626 1.0349
Fe -0.1873 -3.0407 -3.5646
Hg 1.6337 -2.0172 -1.7879
```

Properties
- SG: No. 44
- Density of states at the Fermi level: 6.29 states/eV/cell
- DFT total energy: -11.9 eV per formula unit
- Distance to the lowest polymorph of the same formula: 258 meV per atom
- Energy relative to the elements, uncorrected: 23 kJ/mol of formula units

No. 9
Compound: Zr2AsBr
Source: the Alexandria database
Functional: PBE-GGA
Structure: relaxed

Geometry as extended XYZ:
```
4
Lattice="-4.7364 2.3367 0.1461 -0.4858 -1.1912 3.3036 1.8792 3.7081 1.6142" Properties=species:S:1:pos:R:3 pbc="T T T"
As 0.6727 1.2402 1.9729
Br -1.3036 3.0654 4.2444
Zr 1.4091 2.5770 4.4655
Zr -2.0310 1.7465 1.7580
```

Properties
- SG: No. 25
- Density of states at the Fermi level: 2.55 states/eV/cell
- DFT total energy: -25.8 eV per formula unit
- Energy relative to the elements, uncorrected: -233 kJ/mol of formula units

No. 10
Compound: Pm3ScIn
Source: the Alexandria database
Functional: PBE-GGA
Structure: relaxed

Geometry as extended XYZ:
```
10
Lattice="4.7299 0.0000 1.0809 0.0000 4.8470 0.0000 -0.4171 0.0000 12.7144" Properties=species:S:1:pos:R:3 pbc="T T T"
Pm 3.5885 1.2117 2.2464
Pm 1.4311 1.2117 11.6868
Pm 2.5036 1.2117 6.9935
Pm 1.2184 3.6352 1.7284
Pm 3.7909 3.6352 12.2497
Pm 0.1459 3.6352 6.4217
Sc 1.9628 3.6352 9.3601
Sc 0.6867 1.2117 4.0551
In 3.0437 3.6352 4.6302
In 4.3357 1.2117 9.8660
```

Properties
- SG: No. 63
- Density of states at the Fermi level: 11.66 states/eV/cell
- DFT total energy: -24.2 eV per formula unit
- Distance to the lowest polymorph of the same formula: 0 meV per atom
- DFT formation energy: -175 meV per atom

No. 11
Compound: In2BiH6
Source: the Alexandria database
Functional: PBE-GGA
Structure: relaxed

Geometry as extended XYZ:
```
9
Lattice="-0.2920 -1.0119 -4.5003 2.3229 -5.0676 0.9885 -5.6221 0.6292 0.2231" Properties=species:S:1:pos:R:3 pbc="T T T"
In -3.1198 -1.7756 -1.7719
In -0.4713 -3.6746 -1.5168
Bi -5.6221 0.6292 0.2231
H -1.6614 -5.3895 -2.1701
H -4.2791 -3.5125 -2.4223
H -1.3016 -2.2062 -2.9089
H 0.6880 -1.9378 -0.8665
H -1.9297 -0.0608 -1.1187
H -2.2895 -3.2441 -0.3798
```

Properties
- SG: No. 162
- Density of states at the Fermi level: 1.52 states/eV/cell
- DFT total energy: -25.5 eV per formula unit

No. 12
Compound: LaCe2Pm3Y6
Source: the Alexandria database
Functional: PBE-GGA
Structure: relaxed

Geometry as extended XYZ:
```
12
Lattice="-5.2482 3.0946 -1.3597 -0.0579 -4.4924 4.3339 4.2925 8.3516 7.2159" Properties=species:S:1:pos:R:3 pbc="T T T"
La 0.0000 0.0000 0.0000
Ce -1.7879 -1.9635 2.4361
Ce -3.5181 0.5657 0.5381
Pm 1.2249 0.9455 6.9947
Pm -2.2385 6.0083 3.1954
Pm -0.5068 3.4769 5.0951
Y -1.6202 6.5075 6.6960
Y -2.8958 1.0288 4.0108
Y 0.6066 0.4463 3.4941
Y 0.1250 3.9563 8.6105
Y 1.8823 5.9249 6.1794
Y -1.1386 2.9974 1.5797
```

Properties
- SG: No. 12
- Density of states at the Fermi level: 21.90 states/eV/cell
- DFT total energy: -69.3 eV per formula unit
- DFT formation energy: 47 meV per atom